Here is a relaxed Ca2ZnGa3 crystal from the Alexandria database. Energies are from PBE.

```
data_Ca2ZnGa3
_chemical_formula_sum 'Ca4 Zn2 Ga6'
_space_group_name_H-M_alt 'C 1 m 1'
_space_group_IT_number 8
_cell_length_a 10.646
_cell_length_b 4.513
_cell_length_c 7.377
_cell_angle_alpha 90.00
_cell_angle_beta 133.61
_cell_angle_gamma 90.00
loop_
_space_group_symop_operation_xyz
'x,y,z'
'x,-y,z'
'x+1/2,y+1/2,z'
'x+1/2,-y+1/2,z'
loop_
_atom_site_label
_atom_site_type_symbol
_atom_site_fract_x
_atom_site_fract_y
_atom_site_fract_z
Ca1 Ca 0.000 0.000 0.000
Ca2 Ca 0.089 0.000 0.588
Zn1 Zn 0.378 0.000 0.189
Ga1 Ga 0.203 0.500 0.397
Ga2 Ga 0.208 0.500 0.016
Ga3 Ga 0.384 0.000 0.573
```

Values from the calculation:
Energy above the most stable polymorph in this dataset   0.0 meV/atom
DOS(E_F)   2.15 states/eV/f.u.
Total energy   -2.87 eV per atom